CrBiN2: relaxed, GGA-PBE.

Lattice parameters (Å, degrees): 3.6028 3.6028 18.5072 90.00 90.00 120.00
With the nearest neighbours (Å) after each atom.
Space group R-3m (No. 166, hexagonal axes)
Asymmetric unit:
Cr (0.0000, 0.0000, 0.0000) x3  2 N 1.80
Bi (0.0000, 0.0000, 0.5000) x3  6 N 2.45
N (0.0000, 0.0000, 0.0970) x6  1 Cr 1.80

Results
Formation energy without anion corrections ... 740 meV/atom
DFT total energy ... -6.80 eV/atom


CrBiN2: relaxed, GGA-PBE.

Lattice parameters (Å, degrees): 3.1052 3.1052 19.9919 90.00 90.00 120.00
With the nearest neighbours (Å) after each atom.
Space group R-3m (No. 166, hexagonal axes)
Asymmetric unit:
Cr (0.0000, 0.0000, 0.0000) x3  6 N 2.03
Bi (0.0000, 0.0000, 0.5000) x3  2 N 2.37
N (0.0000, 0.0000, 0.3814) x6  3 Cr 2.03

Results
Formation energy without anion corrections ... 302 meV/atom
DFT total energy ... -7.24 eV/atom


CrBi3N: relaxed, GGA-PBE.

Lattice parameters (Å, degrees): 5.0362 5.0362 5.0362 90.00 90.00 90.00
With the nearest neighbours (Å) after each atom.
Space group Pm-3m (No. 221)
Asymmetric unit:
Cr (0.0000, 0.0000, 0.0000) x1  6 Bi 2.52
Bi (0.0000, 0.0000, 0.5000) x3  2 Cr 2.52
N (0.5000, 0.5000, 0.5000) x1  12 Bi 3.56

Results
Formation energy without anion corrections ... 1387 meV/atom
DFT total energy ... -4.53 eV/atom


CrBiN3: relaxed, GGA-PBE.

Lattice parameters (Å, degrees): 3.8173 3.8173 3.8173 90.00 90.00 90.00
With the nearest neighbours (Å) after each atom.
Space group Pm-3m (No. 221)
Asymmetric unit:
Cr (0.0000, 0.0000, 0.0000) x1  6 N 1.91
Bi (0.5000, 0.5000, 0.5000) x1  12 N 2.70
N (0.0000, 0.0000, 0.5000) x3  2 Cr 1.91

Results
Formation energy without anion corrections ... 618 meV/atom
DFT total energy ... -7.08 eV/atom